[1]
TcNi3: relaxed, PBEsol.

Unit cell a=4.1272 b=4.9802 c=4.3406 alpha=90.00 beta=90.00 gamma=90.00
Element x y z (fractional)
Tc 0.2500 0.2500 0.1608
Tc 0.7500 0.7500 0.8392
Ni 0.2500 0.5016 0.6618
Ni 0.2500 0.7500 0.1607
Ni 0.2500 0.9984 0.6618
Ni 0.7500 0.0016 0.3382
Ni 0.7500 0.2500 0.8393
Ni 0.7500 0.4984 0.3382

Computed properties:
Total magnetization, μB per cell: 0.001
Crystal system: orthorhombic
Energy relative to the elements, eV/atom: -0.010
Final energy, eV per cell: -59.56

***

[2]
TcNiTe4: relaxed, PBEsol.

Unit cell a=6.0200 b=6.0200 c=6.0200 alpha=60.00 beta=60.00 gamma=60.00
Element x y z (fractional)
Tc 0.0000 0.0000 0.0000
Ni 0.7500 0.7500 0.7500
Te 0.3751 0.3751 0.3751
Te 0.3751 0.3751 0.8746
Te 0.3751 0.8746 0.3751
Te 0.8746 0.3751 0.3751

Computed properties:
Total magnetization, μB per cell: 4.317
Crystal system: cubic
Final energy, eV per cell: -22.70
Energy relative to the elements, uncorrected, eV/atom: 1.47

***

Question: Look up the total magnetization of the second one.
Answer: 4.317 μB per cell

***

Question: What is the final energy in the first record?
Answer: -59.56 eV per cell

***

Question: The lowest final energy belongs to which entry?
Answer: TcNi3